A:
DFT (PBE) results for a relaxed structure of Ca2AgRhC.

D(E_F) ... 1.9 states/eV per cell
Calculated volume ... 20.6 A^3/atom
Crystal system ... tetragonal
Density ... 4.883 g cm⁻³

a = 5.1638 Å, b = 5.1638 Å, c = 3.8635 Å
α = 90.00°, β = 90.00°, γ = 90.00°
Last column: nearest neighbours and their distance in Å.
Space group P4/mmm (No. 123)
Inequivalent atoms, fractional coordinates:
Ca: 0.0000 0.5000 0.0000 x2  2 C 2.58
Ag: 0.0000 0.0000 0.5000 x1  8 Ca 3.22
Rh: 0.5000 0.5000 0.5000 x1  2 C 1.93
C: 0.5000 0.5000 0.0000 x1  2 Rh 1.93


B:
DFT (PBE) results for a relaxed structure of Ca2AgRhC.

D(E_F) ... 4.0 states/eV per cell
Calculated volume ... 20.6 A^3/atom
Crystal system ... tetragonal
Density ... 4.881 g cm⁻³

a = 5.0398 Å, b = 5.0398 Å, c = 4.0574 Å
α = 90.00°, β = 90.00°, γ = 90.00°
Last column: nearest neighbours and their distance in Å.
Space group P4/mmm (No. 123)
Inequivalent atoms, fractional coordinates:
Ca: 0.0000 0.5000 0.0000 x2  2 C 2.52
Ag: 0.0000 0.0000 0.5000 x1  2 C 2.03
Rh: 0.5000 0.5000 0.5000 x1  8 Ca 3.24, 4 Ag 3.56
C: 0.0000 0.0000 0.0000 x1  2 Ag 2.03


Most stable: A (next structure +591 meV per atom)